{
  "formula": "ZnAg",
  "functional": "PBE-GGA",
  "state": "optimized geometry",
  "sg": "No. 221",
  "lattice": [[3.179, 0.000, 0.000], [0.000, 3.179, 0.000], [0.000, 0.000, 3.179]],
  "species": ["Ag", "Zn"],
  "frac_coords": [[0.000, 0.000, 0.000], [0.500, 0.500, 0.500]]
}

***

{
  "formula": "ZnAg7",
  "functional": "PBE-GGA",
  "state": "optimized geometry",
  "polymorph_energy_mev_per_atom": 0,
  "sg": "No. 129",
  "lattice": [[-0.463, -2.682, -0.969], [2.733, -0.137, -0.926], [12.394, -16.230, 38.991]],
  "species": ["Ag", "Ag", "Ag", "Ag", "Ag", "Ag", "Ag", "Ag", "Ag", "Ag", "Ag", "Ag", "Ag", "Ag", "Zn", "Zn"],
  "frac_coords": [[0.500, 0.000, 0.185], [0.000, 0.500, 0.234], [0.500, 0.000, 0.283], [0.000, 0.500, 0.331], [0.500, 0.000, 0.380], [0.000, 0.500, 0.428], [0.500, 0.000, 0.476], [0.000, 0.500, 0.524], [0.500, 0.000, 0.572], [0.000, 0.500, 0.620], [0.500, 0.000, 0.669], [0.000, 0.500, 0.717], [0.500, 0.000, 0.766], [0.000, 0.500, 0.815], [0.000, 0.500, 0.140], [0.500, 0.000, 0.860]]
}

***

{
  "formula": "ZnAg",
  "functional": "PBE-GGA",
  "state": "optimized geometry",
  "sg": "No. 57",
  "lattice": [[-0.076, 4.941, 0.147], [-5.354, -0.026, -1.904], [-1.544, -0.153, 4.343]],
  "species": ["Ag", "Ag", "Ag", "Ag", "Zn", "Zn", "Zn", "Zn"],
  "frac_coords": [[0.985, 0.484, 0.000], [0.485, 0.766, 0.000], [0.348, 0.484, 0.500], [0.848, 0.766, 0.500], [0.001, 0.000, 0.000], [0.501, 0.250, 0.000], [0.332, 0.000, 0.500], [0.832, 0.250, 0.500]]
}

***

{
  "formula": "ZnAg",
  "functional": "PBE-GGA",
  "state": "optimized geometry",
  "sg": "No. 187",
  "lattice": [[0.537, 5.626, -0.712], [-1.466, -3.301, -4.405], [-4.467, 0.561, 1.066]],
  "species": ["Ag", "Ag", "Ag", "Ag", "Zn", "Zn", "Zn", "Zn"],
  "frac_coords": [[0.000, 0.000, 0.000], [0.338, 0.169, 0.500], [0.831, 0.169, 0.500], [0.831, 0.662, 0.500], [0.496, 0.504, 0.000], [0.007, 0.504, 0.000], [0.496, 0.993, 0.000], [0.333, 0.667, 0.500]]
}

***

{
  "formula": "Zn2Ag7",
  "functional": "PBE-GGA",
  "state": "optimized geometry",
  "sg": "No. 164",
  "lattice": [[2.491, -1.438, 0.000], [2.491, 1.438, 0.000], [-0.002, 0.000, 28.899]],
  "species": ["Ag", "Ag", "Ag", "Ag", "Ag", "Ag", "Ag", "Zn", "Zn"],
  "frac_coords": [[0.000, 0.000, 0.245], [0.333, 0.333, 0.330], [0.667, 0.667, 0.415], [0.000, 0.000, 0.500], [0.333, 0.333, 0.585], [0.667, 0.667, 0.670], [0.000, 0.000, 0.755], [0.667, 0.667, 0.164], [0.333, 0.333, 0.836]]
}

***

{
  "formula": "ZnAg",
  "functional": "PBE-GGA",
  "state": "optimized geometry",
  "sg": "No. 59",
  "lattice": [[4.838, 0.000, 0.000], [0.000, 2.893, 0.000], [0.000, 0.000, 4.650]],
  "species": ["Ag", "Ag", "Zn", "Zn"],
  "frac_coords": [[0.515, 0.500, 0.000], [0.319, 0.000, 0.500], [0.004, 0.000, 0.000], [0.829, 0.500, 0.500]]
}

***

{
  "formula": "ZnAg",
  "functional": "PBE-GGA",
  "state": "optimized geometry",
  "sg": "No. 26",
  "lattice": [[-3.352, 2.133, -2.908], [4.436, -2.505, -6.952], [-2.383, -3.902, -0.114]],
  "species": ["Ag", "Ag", "Ag", "Ag", "Ag", "Ag", "Zn", "Zn", "Zn", "Zn", "Zn", "Zn"],
  "frac_coords": [[0.490, 0.182, 0.000], [0.990, 0.984, 0.000], [0.858, 0.171, 0.500], [0.822, 0.500, 0.500], [0.322, 0.667, 0.500], [0.358, 0.996, 0.500], [0.001, 0.337, 0.000], [0.495, 0.504, 0.000], [0.995, 0.663, 0.000], [0.501, 0.830, 0.000], [0.334, 0.337, 0.500], [0.834, 0.830, 0.500]]
}

***

{
  "formula": "ZnAg",
  "functional": "PBE-GGA",
  "state": "optimized geometry",
  "sg": "No. 225",
  "lattice": [[0.000, 2.657, 2.657], [2.657, 0.000, 2.657], [2.657, 2.657, 0.000]],
  "species": ["Ag", "Zn"],
  "frac_coords": [[0.000, 0.000, 0.000], [0.500, 0.500, 0.500]]
}

***

{
  "formula": "ZnAg8",
  "functional": "PBE-GGA",
  "state": "optimized geometry",
  "sg": "No. 12",
  "lattice": [[4.611, -2.040, 0.000], [4.611, 2.040, 0.000], [-0.119, 0.000, 29.327]],
  "species": ["Ag", "Ag", "Ag", "Ag", "Ag", "Ag", "Ag", "Ag", "Ag", "Ag", "Ag", "Ag", "Ag", "Ag", "Ag", "Ag", "Zn", "Zn"],
  "frac_coords": [[0.351, 0.351, 0.016], [0.050, 0.050, 0.049], [0.750, 0.750, 0.080], [0.450, 0.450, 0.114], [0.147, 0.147, 0.147], [0.845, 0.845, 0.176], [0.553, 0.553, 0.214], [0.253, 0.253, 0.246], [0.747, 0.747, 0.754], [0.447, 0.447, 0.786], [0.155, 0.155, 0.824], [0.853, 0.853, 0.853], [0.550, 0.550, 0.886], [0.250, 0.250, 0.920], [0.950, 0.950, 0.951], [0.649, 0.649, 0.984], [0.948, 0.948, 0.263], [0.052, 0.052, 0.737]]
}

***

{
  "formula": "Zn8Ag5",
  "functional": "PBE-GGA",
  "state": "optimized geometry",
  "sg": "No. 217",
  "lattice": [[4.856, -6.451, 1.019], [1.598, 3.492, -7.176], [1.320, 5.361, 5.980]],
  "species": ["Ag", "Ag", "Ag", "Ag", "Ag", "Ag", "Ag", "Ag", "Ag", "Ag", "Zn", "Zn", "Zn", "Zn", "Zn", "Zn", "Zn", "Zn", "Zn", "Zn", "Zn", "Zn", "Zn", "Zn", "Zn", "Zn"],
  "frac_coords": [[0.642, 0.000, 0.000], [0.354, 0.354, 0.000], [0.000, 0.642, 0.000], [0.646, 0.646, 0.000], [0.354, 0.000, 0.354], [0.000, 0.354, 0.354], [0.358, 0.358, 0.358], [0.000, 0.000, 0.642], [0.646, 0.000, 0.646], [0.000, 0.646, 0.646], [0.220, 0.000, 0.000], [0.000, 0.220, 0.000], [0.715, 0.344, 0.000], [0.344, 0.715, 0.000], [0.000, 0.000, 0.220], [0.630, 0.285, 0.285], [0.285, 0.630, 0.285], [0.715, 0.000, 0.344], [0.000, 0.715, 0.344], [0.656, 0.656, 0.370], [0.285, 0.285, 0.630], [0.656, 0.370, 0.656], [0.370, 0.656, 0.656], [0.344, 0.000, 0.715], [0.000, 0.344, 0.715], [0.780, 0.780, 0.780]]
}

***

{
  "formula": "ZnAg",
  "functional": "PBE-GGA",
  "state": "optimized geometry",
  "sg": "No. 38",
  "lattice": [[2.463, 4.262, 0.000], [-4.986, 5.717, 0.000], [0.000, 0.000, 4.578]],
  "species": ["Ag", "Ag", "Ag", "Ag", "Ag", "Zn", "Zn", "Zn", "Zn", "Zn"],
  "frac_coords": [[0.426, 0.194, 0.000], [0.820, 0.406, 0.000], [0.587, 0.800, 0.000], [0.063, 0.182, 0.500], [0.445, 0.418, 0.500], [0.195, 0.606, 0.000], [0.000, 0.994, 0.000], [0.865, 0.603, 0.500], [0.264, 0.800, 0.500], [0.669, 0.997, 0.500]]
}

***

{
  "formula": "Zn4Ag3",
  "functional": "PBE-GGA",
  "state": "optimized geometry",
  "polymorph_energy_mev_per_atom": 0,
  "sg": "No. 176",
  "lattice": [[1.171, -7.118, -2.070], [2.515, -1.535, -6.902], [4.289, 0.269, 1.503]],
  "species": ["Ag", "Ag", "Ag", "Ag", "Ag", "Ag", "Zn", "Zn", "Zn", "Zn", "Zn", "Zn", "Zn", "Zn"],
  "frac_coords": [[0.131, 0.283, 0.000], [0.300, 0.559, 0.000], [0.855, 0.729, 0.000], [0.393, 0.098, 0.500], [0.669, 0.652, 0.500], [0.224, 0.822, 0.500], [0.995, 0.003, 0.000], [0.575, 0.145, 0.000], [0.716, 0.424, 0.000], [0.429, 0.857, 0.000], [0.949, 0.236, 0.500], [0.529, 0.378, 0.500], [0.095, 0.524, 0.500], [0.808, 0.957, 0.500]]
}

***

{
  "formula": "ZnAg17",
  "functional": "PBE-GGA",
  "state": "optimized geometry",
  "sg": "No. 11",
  "lattice": [[5.044, 0.000, 0.000], [0.000, 5.837, 0.000], [-0.009, 0.000, 34.517]],
  "species": ["Ag", "Ag", "Ag", "Ag", "Ag", "Ag", "Ag", "Ag", "Ag", "Ag", "Ag", "Ag", "Ag", "Ag", "Ag", "Ag", "Ag", "Ag", "Ag", "Ag", "Ag", "Ag", "Ag", "Ag", "Ag", "Ag", "Ag", "Ag", "Ag", "Ag", "Ag", "Ag", "Ag", "Ag", "Zn", "Zn"],
  "frac_coords": [[0.334, 0.750, 0.221], [0.833, 0.004, 0.221], [0.833, 0.496, 0.221], [0.500, 0.001, 0.291], [0.500, 0.499, 0.291], [0.002, 0.250, 0.291], [0.999, 0.750, 0.291], [0.666, 0.250, 0.360], [0.167, 0.500, 0.360], [0.167, 0.000, 0.360], [0.667, 0.750, 0.361], [0.834, 0.000, 0.430], [0.834, 0.500, 0.430], [0.333, 0.750, 0.430], [0.333, 0.250, 0.430], [0.000, 0.750, 0.500], [0.500, 0.000, 0.500], [0.500, 0.500, 0.500], [0.000, 0.250, 0.500], [0.667, 0.750, 0.570], [0.667, 0.250, 0.570], [0.166, 0.500, 0.570], [0.166, 0.000, 0.570], [0.333, 0.250, 0.639], [0.833, 0.000, 0.640], [0.833, 0.500, 0.640], [0.334, 0.750, 0.640], [0.001, 0.250, 0.709], [0.998, 0.750, 0.709], [0.500, 0.501, 0.709], [0.500, 0.999, 0.709], [0.167, 0.504, 0.779], [0.167, 0.996, 0.779], [0.666, 0.250, 0.779], [0.333, 0.250, 0.222], [0.667, 0.750, 0.778]]
}

***

{
  "formula": "ZnAg",
  "functional": "PBE-GGA",
  "state": "optimized geometry",
  "sg": "No. 59",
  "lattice": [[-6.179, -4.698, -6.223], [3.329, -4.583, 0.155], [-2.378, -1.606, 3.574]],
  "species": ["Ag", "Ag", "Ag", "Ag", "Ag", "Ag", "Ag", "Ag", "Zn", "Zn", "Zn", "Zn", "Zn", "Zn", "Zn", "Zn"],
  "frac_coords": [[0.750, 0.252, 0.000], [0.019, 0.500, 0.000], [0.493, 0.500, 0.000], [0.750, 0.748, 0.000], [0.917, 0.752, 0.500], [0.174, 0.000, 0.500], [0.917, 0.248, 0.500], [0.648, 0.000, 0.500], [0.493, 0.000, 0.000], [0.000, 0.000, 0.000], [0.252, 0.247, 0.000], [0.252, 0.753, 0.000], [0.414, 0.747, 0.500], [0.174, 0.500, 0.500], [0.667, 0.500, 0.500], [0.414, 0.253, 0.500]]
}

***

{
  "formula": "ZnAg",
  "functional": "PBE-GGA",
  "state": "optimized geometry",
  "sg": "No. 59",
  "lattice": [[4.977, 0.000, 0.000], [0.000, 11.304, 0.000], [0.000, 0.000, 4.592]],
  "species": ["Ag", "Ag", "Ag", "Ag", "Ag", "Ag", "Ag", "Ag", "Zn", "Zn", "Zn", "Zn", "Zn", "Zn", "Zn", "Zn"],
  "frac_coords": [[0.019, 0.236, 0.000], [0.507, 0.375, 0.000], [0.019, 0.514, 0.000], [0.474, 0.875, 0.000], [0.859, 0.375, 0.500], [0.826, 0.875, 0.500], [0.314, 0.014, 0.500], [0.314, 0.736, 0.500], [0.516, 0.124, 0.000], [0.516, 0.626, 0.000], [0.983, 0.754, 0.000], [0.983, 0.996, 0.000], [0.350, 0.254, 0.500], [0.350, 0.496, 0.500], [0.817, 0.126, 0.500], [0.817, 0.624, 0.500]]
}

***

{
  "formula": "ZnAg3",
  "functional": "PBE-GGA",
  "state": "optimized geometry",
  "sg": "No. 71",
  "lattice": [[-2.384, 2.389, 3.026], [2.384, -2.389, 3.026], [2.384, 2.389, -3.026]],
  "species": ["Ag", "Ag", "Ag", "Zn"],
  "frac_coords": [[0.500, 0.500, 0.000], [0.750, 0.250, 0.500], [0.250, 0.750, 0.500], [0.000, 0.000, 0.000]]
}

***

{
  "formula": "ZnAg",
  "functional": "PBE-GGA",
  "state": "optimized geometry",
  "sg": "No. 59",
  "lattice": [[4.953, 0.000, 0.000], [0.000, 11.353, 0.000], [0.000, 0.000, 4.608]],
  "species": ["Ag", "Ag", "Ag", "Ag", "Ag", "Ag", "Ag", "Ag", "Zn", "Zn", "Zn", "Zn", "Zn", "Zn", "Zn", "Zn"],
  "frac_coords": [[0.993, 0.500, 0.000], [0.505, 0.628, 0.000], [0.505, 0.872, 0.000], [0.993, 0.000, 0.000], [0.340, 0.000, 0.500], [0.828, 0.128, 0.500], [0.828, 0.372, 0.500], [0.340, 0.500, 0.500], [0.494, 0.129, 0.000], [0.010, 0.250, 0.000], [0.494, 0.371, 0.000], [0.009, 0.750, 0.000], [0.325, 0.250, 0.500], [0.839, 0.629, 0.500], [0.323, 0.750, 0.500], [0.839, 0.871, 0.500]]
}

***

{
  "formula": "ZnAg",
  "functional": "PBE-GGA",
  "state": "optimized geometry",
  "sg": "No. 26",
  "lattice": [[-1.620, 1.729, 4.318], [1.044, -7.777, 3.506], [4.283, 1.101, 1.167]],
  "species": ["Ag", "Ag", "Ag", "Ag", "Ag", "Ag", "Zn", "Zn", "Zn", "Zn", "Zn", "Zn"],
  "frac_coords": [[0.490, 0.160, 0.000], [0.990, 0.674, 0.000], [0.847, 0.155, 0.500], [0.335, 0.336, 0.500], [0.835, 0.497, 0.500], [0.347, 0.678, 0.500], [0.988, 0.334, 0.000], [0.488, 0.499, 0.000], [0.505, 0.837, 0.000], [0.005, 0.996, 0.000], [0.834, 0.835, 0.500], [0.334, 0.998, 0.500]]
}

***

{
  "formula": "ZnAg7",
  "functional": "PBE-GGA",
  "state": "optimized geometry",
  "polymorph_energy_mev_per_atom": 8,
  "sg": "No. 59",
  "lattice": [[2.925, 0.000, 0.000], [0.000, 4.077, 0.000], [0.000, 0.000, 34.317]],
  "species": ["Ag", "Ag", "Ag", "Ag", "Ag", "Ag", "Ag", "Ag", "Ag", "Ag", "Ag", "Ag", "Ag", "Ag", "Zn", "Zn"],
  "frac_coords": [[0.500, 0.500, 0.213], [0.000, 0.000, 0.261], [0.500, 0.500, 0.303], [0.000, 0.000, 0.347], [0.500, 0.500, 0.391], [0.000, 0.000, 0.434], [0.500, 0.500, 0.478], [0.000, 0.000, 0.522], [0.500, 0.500, 0.566], [0.000, 0.000, 0.609], [0.500, 0.500, 0.653], [0.000, 0.000, 0.697], [0.500, 0.500, 0.739], [0.000, 0.000, 0.787], [0.000, 0.000, 0.182], [0.500, 0.500, 0.818]]
}

***

{
  "formula": "ZnAg",
  "functional": "PBE-GGA",
  "state": "optimized geometry",
  "sg": "No. 25",
  "lattice": [[4.927, 0.000, 0.000], [0.000, 5.747, 0.000], [0.000, 0.000, 4.590]],
  "species": ["Ag", "Ag", "Ag", "Ag", "Zn", "Zn", "Zn", "Zn"],
  "frac_coords": [[0.992, 0.000, 0.000], [0.344, 0.000, 0.500], [0.832, 0.259, 0.500], [0.832, 0.741, 0.500], [0.496, 0.256, 0.000], [0.012, 0.500, 0.000], [0.496, 0.744, 0.000], [0.329, 0.500, 0.500]]
}

***

For each record above, in turn, the calculated E values are -0.0770; -0.0946; -0.0766; -0.0763; -0.0884; -0.0765; -0.0766; -0.0669; -0.0939; -0.0705; -0.0767; -0.0728; -0.0982; -0.0764; -0.0768; -0.0896; -0.0764; -0.0766; -0.0943; -0.0764 hartree per atom.